Sr2ZrBr: relaxed, PBE-GGA.

a b c (Å): 3.630 3.630 10.111
angles (deg): 90.00 90.00 90.00
Positions (direct):
1 Sr 0.000 0.000 0.000
2 Sr 0.500 0.500 0.338
3 Zr 0.000 0.000 0.596
4 Br 0.500 0.500 0.767

Calculated values
Offset from the most stable computed form   0.298 eV/atom
V   133 Å³ per cell
Total moment   1.0 μB/cell
VASP energy   -0.25566 Ry per atom
Raw formation energy   -0.33 eV/f.u.